Record 1
{"formula": "V3CoNi12", "functional": "PBE", "state": "optimized geometry", "lattice_angstrom": [[-0.104, -3.083, -1.760], [3.522, 0.134, -0.443], [1.801, -7.023, 12.198]], "species": ["Ni", "V", "Ni", "Ni", "Co", "Ni", "Ni", "Ni", "Ni", "Ni", "Ni", "V", "Ni", "V", "Ni", "Ni"], "frac_coords": [[0.000, 0.500, 0.375], [0.000, 0.000, 0.244], [0.500, 0.500, 0.000], [0.500, 0.000, 0.126], [0.000, 0.000, 0.000], [0.500, 0.000, 0.375], [0.500, 0.500, 0.251], [0.000, 0.500, 0.874], [0.500, 0.000, 0.625], [0.000, 0.500, 0.126], [0.500, 0.500, 0.500], [0.000, 0.000, 0.756], [0.500, 0.000, 0.874], [0.000, 0.000, 0.500], [0.500, 0.500, 0.749], [0.000, 0.500, 0.625]], "ef_ev_per_fu": -2.138}


Record 2
{"formula": "SrCaP2O6", "functional": "PBE", "state": "optimized geometry", "lattice_angstrom": [[-6.074, 0.644, 2.974], [-2.341, -1.551, -6.185], [2.090, -5.990, 2.287]], "species": ["O", "O", "O", "O", "P", "O", "O", "Ca", "P", "P", "Sr", "O", "Sr", "P", "O", "O", "O", "O", "Ca", "O"], "frac_coords": [[0.373, 0.921, 0.654], [0.713, 0.503, 0.624], [0.799, 0.856, 0.877], [0.921, 0.373, 0.154], [0.115, 0.305, 0.272], [0.503, 0.713, 0.124], [0.287, 0.497, 0.376], [0.401, 0.599, 0.750], [0.695, 0.885, 0.228], [0.305, 0.115, 0.772], [0.183, 0.817, 0.250], [0.201, 0.144, 0.123], [0.817, 0.183, 0.750], [0.885, 0.695, 0.728], [0.079, 0.627, 0.846], [0.497, 0.287, 0.876], [0.856, 0.799, 0.377], [0.627, 0.079, 0.346], [0.599, 0.401, 0.250], [0.144, 0.201, 0.623]], "e_form_raw_ev_per_atom": -2.41}


Number 1: uncorrected energy -105.98 eV/cell, calculated density 8.50 g/cm³, total moment 1.327 μB per formula unit. Number 2: uncorrected energy -136.75 eV/cell, calculated density 3.24 g/cm³, total moment 0.000 μB per formula unit.